No. 1
Below is a relaxed structure of Ga3Mo, with properties calculated at the PBE level.

- energy (Ry/atom) = -0.3728
- polymorph energy (0 for the lowest one) (eV/atom) = 0.000
- SG = No. 136
- density (g cm⁻³) = 6.43

abc: 6.530 6.530 7.394
angles: 90.00 90.00 90.00
Fractional coordinates of all 16 atoms:
Ga1 0.000 0.500 0.500
Ga2 0.830 0.170 0.249
Ga3 0.670 0.670 0.251
Ga4 0.330 0.330 0.251
Ga5 0.830 0.170 0.751
Ga6 0.000 0.500 0.000
Ga7 0.170 0.830 0.751
Ga8 0.500 0.000 0.500
Ga9 0.330 0.330 0.749
Ga10 0.500 0.000 0.000
Ga11 0.670 0.670 0.749
Ga12 0.170 0.830 0.249
Mo1 0.864 0.864 0.000
Mo2 0.136 0.136 0.000
Mo3 0.364 0.636 0.500
Mo4 0.636 0.364 0.500

---

No. 2
Below is a relaxed structure of GaMo3N2, with properties calculated at the PBE level.

- energy (Ry/atom) = -0.6422
- SG = No. 194
- density (g cm⁻³) = 8.55

abc: 3.140 3.140 17.530
angles: 90.00 90.00 120.00
Fractional coordinates of all 12 atoms:
Mo1 0.000 0.000 0.000
Mo2 0.667 0.333 0.129
Mo3 0.667 0.333 0.371
Mo4 0.333 0.667 0.871
Mo5 0.000 0.000 0.500
Mo6 0.333 0.667 0.629
Ga1 0.000 0.000 0.750
Ga2 0.000 0.000 0.250
N1 0.667 0.333 0.569
N2 0.667 0.333 0.931
N3 0.333 0.667 0.069
N4 0.333 0.667 0.431

---

No. 3
Below is a relaxed structure of GaMo4N3, with properties calculated at the PBE level.

- energy (Ry/atom) = -0.6629
- SG = No. 194
- density (g cm⁻³) = 9.00

abc: 2.846 2.846 26.077
angles: 90.00 90.00 120.00
Fractional coordinates of all 16 atoms:
N1 0.667 0.333 0.113
N2 0.000 0.000 0.000
N3 0.333 0.667 0.887
N4 0.667 0.333 0.387
N5 0.333 0.667 0.613
N6 0.000 0.000 0.500
Ga1 0.333 0.667 0.250
Ga2 0.667 0.333 0.750
Mo1 0.000 0.000 0.334
Mo2 0.000 0.000 0.834
Mo3 0.333 0.667 0.056
Mo4 0.000 0.000 0.666
Mo5 0.000 0.000 0.166
Mo6 0.667 0.333 0.944
Mo7 0.333 0.667 0.444
Mo8 0.667 0.333 0.556